Entry 1:
The following is a GGA-PBE calculation of ErTaNb2 after structural relaxation, from the Alexandria database.

Calculated values
Energy of formation from the pure elements = 16.0 kJ per mole of atoms
Symmetry = P4/mmm, No. 123

```
ErTaNb2
1.0
3.406 0.000 0.000
0.000 3.406 0.000
0.000 0.000 7.188
Er Ta Nb
1 1 2
direct
0.000 0.000 0.000
0.000 0.000 0.500
0.500 0.500 0.293
0.500 0.500 0.707
```

***

Entry 2:
The following is a GGA-PBE calculation of ErTaNb after structural relaxation, from the Alexandria database.

Calculated values
Energy of formation from the pure elements = 43.9 kJ per mole of atoms
Symmetry = R-3m, No. 166

```
ErTaNb
1.0
2.535 1.464 6.129
-2.535 1.464 6.129
0.000 -2.928 6.129
Er Ta Nb
2 2 2
direct
0.116 0.116 0.116
0.884 0.884 0.884
0.429 0.429 0.429
0.571 0.571 0.571
0.292 0.292 0.292
0.708 0.708 0.708
```

***

Entry 3:
The following is a GGA-PBE calculation of TbErNb4 after structural relaxation, from the Alexandria database.

Calculated values
Energy of formation from the pure elements = 17.1 kJ per mole of atoms
Symmetry = F-43m, No. 216

```
TbErNb4
1.0
0.000 4.043 4.043
4.043 0.000 4.043
4.043 4.043 0.000
Tb Er Nb
1 1 4
direct
0.000 0.000 0.000
0.250 0.250 0.250
0.125 0.625 0.625
0.625 0.125 0.625
0.625 0.625 0.125
0.625 0.625 0.625
```

***

Entry 4:
The following is a GGA-PBE calculation of TbEr2Nb after structural relaxation, from the Alexandria database.

Calculated values
Energy of formation from the pure elements = 50.2 kJ per mole of atoms
Symmetry = R-3m, No. 166

```
TbEr2Nb
1.0
3.281 0.000 0.000
-1.641 2.842 0.000
0.000 0.000 34.629
Tb Er Nb
3 6 3
direct
0.000 0.000 0.000
0.333 0.667 0.667
0.667 0.333 0.333
0.000 0.000 0.417
0.000 0.000 0.583
0.333 0.667 0.083
0.333 0.667 0.250
0.667 0.333 0.750
0.667 0.333 0.917
0.000 0.000 0.500
0.333 0.667 0.167
0.667 0.333 0.833
```

***

Entry 5:
The following is a GGA-PBE calculation of Tb2ErNb after structural relaxation, from the Alexandria database.

Calculated values
Energy of formation from the pure elements = 50.5 kJ per mole of atoms
Symmetry = R-3m, No. 166

```
Tb2ErNb
1.0
3.299 0.000 0.000
-1.649 2.857 0.000
0.000 0.000 34.590
Tb Er Nb
6 3 3
direct
0.000 0.000 0.084
0.000 0.000 0.916
0.333 0.667 0.583
0.333 0.667 0.750
0.667 0.333 0.250
0.667 0.333 0.417
0.000 0.000 0.500
0.333 0.667 0.167
0.667 0.333 0.833
0.000 0.000 0.000
0.333 0.667 0.667
0.667 0.333 0.333
```

***

Entry 6:
The following is a GGA-PBE calculation of Er2NbTc3 after structural relaxation, from the Alexandria database.

Calculated values
Energy of formation from the pure elements = -16.3 kJ per mole of atoms
Symmetry = C2/m, No. 12

```
Er2NbTc3
1.0
9.419 0.000 0.000
0.000 5.461 0.000
-3.135 0.000 4.474
Er Nb Tc
4 2 6
direct
0.122 0.000 0.367
0.378 0.500 0.633
0.622 0.500 0.367
0.878 0.000 0.633
0.000 0.500 0.500
0.500 0.000 0.500
0.000 0.500 0.000
0.250 0.250 0.000
0.250 0.750 0.000
0.500 0.000 0.000
0.750 0.250 0.000
0.750 0.750 0.000
```

***

Entry 7:
The following is a GGA-PBE calculation of ErThNb after structural relaxation, from the Alexandria database.

Calculated values
Energy of formation from the pure elements = 20.3 kJ per mole of atoms
Symmetry = P3m1, No. 156

```
ErThNb
1.0
5.166 0.000 0.000
-2.583 4.474 0.000
0.000 0.000 3.386
Er Th Nb
1 1 1
direct
0.000 0.000 0.000
0.667 0.333 0.500
0.333 0.667 0.498
```

***

Entry 8:
The following is a GGA-PBE calculation of Er2ThNb after structural relaxation, from the Alexandria database.

Calculated values
Energy of formation from the pure elements = 51.3 kJ per mole of atoms
Symmetry = R-3m, No. 166

```
Er2ThNb
1.0
3.310 0.000 0.000
-1.655 2.867 0.000
0.000 0.000 34.777
Er Th Nb
6 3 3
direct
0.000 0.000 0.083
0.000 0.000 0.917
0.333 0.667 0.583
0.333 0.667 0.750
0.667 0.333 0.250
0.667 0.333 0.417
0.000 0.000 0.500
0.333 0.667 0.167
0.667 0.333 0.833
0.000 0.000 0.000
0.333 0.667 0.667
0.667 0.333 0.333
```

***

Entry 9:
The following is a GGA-PBE calculation of ErTh2Nb after structural relaxation, from the Alexandria database.

Calculated values
Distance to the lowest polymorph of the same formula = 0.3754 eV/atom
Energy of formation from the pure elements = 51.8 kJ per mole of atoms
Symmetry = R-3m, No. 166

```
ErTh2Nb
1.0
3.349 0.000 0.000
-1.675 2.901 0.000
0.000 0.000 35.343
Er Th Nb
3 6 3
direct
0.000 0.000 0.000
0.333 0.667 0.667
0.667 0.333 0.333
0.000 0.000 0.419
0.000 0.000 0.581
0.333 0.667 0.085
0.333 0.667 0.248
0.667 0.333 0.752
0.667 0.333 0.915
0.000 0.000 0.500
0.333 0.667 0.167
0.667 0.333 0.833
```

***

Entry 10:
The following is a GGA-PBE calculation of ErTh2Nb after structural relaxation, from the Alexandria database.

Calculated values
Distance to the lowest polymorph of the same formula = 0.0000 eV/atom
Energy of formation from the pure elements = 15.6 kJ per mole of atoms
Symmetry = P4/mmm, No. 123

```
ErTh2Nb
1.0
3.666 0.000 0.000
0.000 3.666 0.000
0.000 0.000 8.369
Er Th Nb
1 2 1
direct
0.000 0.000 0.000
0.500 0.500 0.282
0.500 0.500 0.718
0.000 0.000 0.500
```

***

Entry 11:
The following is a GGA-PBE calculation of ErTiNb after structural relaxation, from the Alexandria database.

Calculated values
Energy of formation from the pure elements = 12.2 kJ per mole of atoms
Symmetry = I4mm, No. 107

```
ErTiNb
1.0
3.521 0.000 0.000
0.000 3.521 0.000
0.000 0.000 10.515
Er Ti Nb
2 2 2
direct
0.000 0.000 0.000
0.500 0.500 0.500
0.000 0.000 0.299
0.500 0.500 0.799
0.000 0.000 0.698
0.500 0.500 0.198
```

***

Entry 12:
The following is a GGA-PBE calculation of Er2NbTl after structural relaxation, from the Alexandria database.

Calculated values
Energy of formation from the pure elements = 44.0 kJ per mole of atoms
Symmetry = R-3m, No. 166

```
Er2NbTl
1.0
3.258 0.000 0.000
-1.629 2.822 0.000
0.000 0.000 33.925
Er Nb Tl
6 3 3
direct
0.000 0.000 0.086
0.000 0.000 0.914
0.333 0.667 0.580
0.333 0.667 0.753
0.667 0.333 0.247
0.667 0.333 0.420
0.000 0.000 0.000
0.333 0.667 0.667
0.667 0.333 0.333
0.000 0.000 0.500
0.333 0.667 0.167
0.667 0.333 0.833
```

***

Entry 13:
The following is a GGA-PBE calculation of ErTm2Nb after structural relaxation, from the Alexandria database.

Calculated values
Energy of formation from the pure elements = 48.7 kJ per mole of atoms
Symmetry = R-3m, No. 166

```
ErTm2Nb
1.0
3.263 0.000 0.000
-1.631 2.825 0.000
0.000 0.000 34.305
Er Tm Nb
3 6 3
direct
0.000 0.000 0.000
0.333 0.667 0.667
0.667 0.333 0.333
0.000 0.000 0.416
0.000 0.000 0.584
0.333 0.667 0.083
0.333 0.667 0.251
0.667 0.333 0.749
0.667 0.333 0.917
0.000 0.000 0.500
0.333 0.667 0.167
0.667 0.333 0.833
```

***

Entry 14:
The following is a GGA-PBE calculation of ErNbV4 after structural relaxation, from the Alexandria database.

Calculated values
Energy of formation from the pure elements = 19.0 kJ per mole of atoms
Symmetry = F-43m, No. 216

```
ErNbV4
1.0
0.000 3.669 3.669
3.669 0.000 3.669
3.669 3.669 0.000
Er Nb V
1 1 4
direct
0.000 0.000 0.000
0.250 0.250 0.250
0.124 0.625 0.625
0.625 0.124 0.625
0.625 0.625 0.124
0.625 0.625 0.625
```

***

Entry 15:
The following is a GGA-PBE calculation of ErNbW4 after structural relaxation, from the Alexandria database.

Calculated values
Energy of formation from the pure elements = 5.4 kJ per mole of atoms
Symmetry = F-43m, No. 216

```
ErNbW4
1.0
0.000 3.826 3.826
3.826 0.000 3.826
3.826 3.826 0.000
Er Nb W
1 1 4
direct
0.000 0.000 0.000
0.250 0.250 0.250
0.125 0.625 0.625
0.625 0.125 0.625
0.625 0.625 0.125
0.625 0.625 0.625
```

***

Entry 16:
The following is a GGA-PBE calculation of YEr2Nb after structural relaxation, from the Alexandria database.

Calculated values
Energy of formation from the pure elements = 51.4 kJ per mole of atoms
Symmetry = R-3m, No. 166

```
YEr2Nb
1.0
3.289 0.000 0.000
-1.645 2.848 0.000
0.000 0.000 34.583
Y Er Nb
3 6 3
direct
0.000 0.000 0.000
0.333 0.667 0.667
0.667 0.333 0.333
0.000 0.000 0.417
0.000 0.000 0.583
0.333 0.667 0.083
0.333 0.667 0.250
0.667 0.333 0.750
0.667 0.333 0.917
0.000 0.000 0.500
0.333 0.667 0.167
0.667 0.333 0.833
```

***

Entry 17:
The following is a GGA-PBE calculation of YErNb4 after structural relaxation, from the Alexandria database.

Calculated values
Energy of formation from the pure elements = 16.7 kJ per mole of atoms
Symmetry = F-43m, No. 216

```
YErNb4
1.0
0.000 4.045 4.045
4.045 0.000 4.045
4.045 4.045 0.000
Y Er Nb
1 1 4
direct
0.000 0.000 0.000
0.750 0.750 0.750
0.375 0.375 0.375
0.375 0.375 0.875
0.375 0.875 0.375
0.875 0.375 0.375
```

***

Entry 18:
The following is a GGA-PBE calculation of ErZrNb after structural relaxation, from the Alexandria database.

Calculated values
Distance to the lowest polymorph of the same formula = 0.0662 eV/atom
Energy of formation from the pure elements = 20.3 kJ per mole of atoms
Symmetry = R-3m, No. 166

```
ErZrNb
1.0
1.657 0.957 15.066
-1.657 0.957 15.066
0.000 -1.913 15.066
Er Zr Nb
2 2 2
direct
0.133 0.133 0.133
0.867 0.867 0.867
0.406 0.406 0.406
0.594 0.594 0.594
0.312 0.312 0.312
0.688 0.688 0.688
```

***

Entry 19:
The following is a GGA-PBE calculation of ErZr2Nb after structural relaxation, from the Alexandria database.

Calculated values
Distance to the lowest polymorph of the same formula = 0.0000 eV/atom
Energy of formation from the pure elements = 8.6 kJ per mole of atoms
Symmetry = P4/mmm, No. 123

```
ErZr2Nb
1.0
3.590 0.000 0.000
0.000 3.590 0.000
0.000 0.000 7.311
Er Zr Nb
1 2 1
direct
0.000 0.000 0.000
0.500 0.500 0.294
0.500 0.500 0.706
0.000 0.000 0.500
```

***

Entry 20:
The following is a GGA-PBE calculation of ErZrNb after structural relaxation, from the Alexandria database.

Calculated values
Distance to the lowest polymorph of the same formula = 0.0000 eV/atom
Energy of formation from the pure elements = 13.9 kJ per mole of atoms
Symmetry = I4mm, No. 107

```
ErZrNb
1.0
3.668 0.000 0.000
0.000 3.668 0.000
0.000 0.000 10.632
Er Zr Nb
2 2 2
direct
0.000 0.000 0.000
0.500 0.500 0.500
0.000 0.000 0.298
0.500 0.500 0.798
0.000 0.000 0.690
0.500 0.500 0.190
```